No. 1
This record from the Alexandria database describes a relaxed Ge2Rh3 crystal. The functional is GGA-PBE.

a = 8.2647 Å, b = 8.2647 Å, c = 8.2647 Å
α = 159.01°, β = 159.01°, γ = 29.86°
With the nearest neighbours (Å) after each atom.
Element x y z (fractional)
Ge  0.1033  0.1033  0.0000  8 Rh 2.50-2.69
Ge  0.8967  0.8967  0.0000  8 Rh 2.50-2.69
Rh  0.3141  0.3141  0.0000  4 Ge 2.50
Rh  0.5000  0.5000  0.0000  8 Ge 2.69, 6 Rh 2.97-3.01
Rh  0.6859  0.6859  0.0000  4 Ge 2.50



No. 2
This record from the Alexandria database describes a relaxed Tb5Ru2Rh crystal. The functional is GGA-PBE.

a = 8.7041 Å, b = 8.7041 Å, c = 8.7041 Å
α = 129.79°, β = 129.79°, γ = 73.74°
With the nearest neighbours (Å) after each atom.
Element x y z (fractional)
Tb  0.0000  0.0000  0.0000  4 Ru 2.91
Tb  0.0318  0.5318  0.8469  3 Ru 2.87-2.99, 2 Rh 3.12
Tb  0.1849  0.0318  0.5000  3 Ru 2.87-2.99, 2 Rh 3.12
Tb  0.3151  0.8151  0.8469  3 Ru 2.87-2.99, 2 Rh 3.12
Tb  0.4682  0.3151  0.5000  3 Ru 2.87-2.99, 2 Rh 3.12
Tb  0.5000  0.5000  0.0000  4 Ru 2.91
Tb  0.5318  0.6849  0.5000  3 Ru 2.87-2.99, 2 Rh 3.12
Tb  0.6849  0.1849  0.1531  3 Ru 2.87-2.99, 2 Rh 3.12
Tb  0.8151  0.9682  0.5000  3 Ru 2.87-2.99, 2 Rh 3.12
Tb  0.9682  0.4682  0.1531  3 Ru 2.87-2.99, 2 Rh 3.12
Ru  0.1271  0.3729  0.5000  1 Ru 2.65, 4 Tb 2.87-2.91
Ru  0.3729  0.8729  0.2459  1 Ru 2.65, 4 Tb 2.87-2.91
Ru  0.6271  0.1271  0.7541  1 Ru 2.65, 4 Tb 2.87-2.91
Ru  0.8729  0.6271  0.5000  1 Ru 2.65, 4 Tb 2.87-2.91
Rh  0.2500  0.2500  0.0000  10 Tb 3.12-3.48
Rh  0.7500  0.7500  0.0000  10 Tb 3.12-3.48



No. 3
This record from the Alexandria database describes a relaxed MgNbP2 crystal. The functional is GGA-PBE.

a = 4.5013 Å, b = 4.5013 Å, c = 4.5013 Å
α = 60.00°, β = 60.00°, γ = 60.00°
With the nearest neighbours (Å) after each atom.
Element x y z (fractional)
Mg  0.0000  0.0000  0.0000  8 P 2.76
Nb  0.5000  0.5000  0.5000  8 P 2.76
P  0.2500  0.2500  0.2500  4 Nb 2.76, 4 Mg 2.76
P  0.7500  0.7500  0.7500  4 Nb 2.76, 4 Mg 2.76



Number 1: total magnetization 0.00 μB per formula unit, formation enthalpy at 0 K -364.8 meV/atom. Number 2: total magnetization 0.00 μB per formula unit, formation enthalpy at 0 K -444.8 meV/atom. Number 3: total magnetization 1.30 μB per formula unit, formation enthalpy at 0 K -193.4 meV/atom.